Entry 1:
This record from the Open Quantum Materials Database describes HfUAl after structural relaxation. The functional is GGA-PBE.

Cell: 6.810 6.810 6.810 Å, 90.00 90.00 90.00°
Space group F-43m (No. 216)
Inequivalent atoms, fractional coordinates:
1 Hf 0.000 0.000 0.000 (multiplicity 4)
2 U 0.250 0.250 0.250 (multiplicity 4)
3 Al 0.000 0.000 0.500 (multiplicity 4)

Output
* electronic total energy: -7.1651 eV per atom
* crystal system: cubic


Entry 2:
This record from the Open Quantum Materials Database describes HfUAl after structural relaxation. The functional is GGA-PBE.

Cell: 6.725 6.725 6.725 Å, 90.00 90.00 90.00°
Space group F-43m (No. 216)
Inequivalent atoms, fractional coordinates:
1 Hf 0.000 0.000 0.000 (multiplicity 4)
2 U 0.000 0.000 0.500 (multiplicity 4)
3 Al 0.250 0.250 0.250 (multiplicity 4)

Output
* electronic total energy: -7.6924 eV per atom
* crystal system: cubic


Entry 3:
This record from the Open Quantum Materials Database describes HfAlW after structural relaxation. The functional is GGA-PBE.

Cell: 6.199 6.199 6.199 Å, 90.00 90.00 90.00°
Space group F-43m (No. 216)
Inequivalent atoms, fractional coordinates:
1 Hf 0.000 0.000 0.000 (multiplicity 4)
2 Al 0.250 0.250 0.250 (multiplicity 4)
3 W 0.000 0.000 0.500 (multiplicity 4)

Output
* electronic total energy: -8.3473 eV per atom
* crystal system: cubic


Entry 4:
This record from the Open Quantum Materials Database describes HfAl2W after structural relaxation. The functional is GGA-PBE.

Cell: 6.467 6.467 6.467 Å, 90.00 90.00 90.00°
Space group F-43m (No. 216)
Inequivalent atoms, fractional coordinates:
1 Hf 0.000 0.000 0.000 (multiplicity 4)
2 Al 0.000 0.000 0.500 (multiplicity 4)
3 Al 0.250 0.250 0.250 (multiplicity 4)
4 W 0.250 0.250 0.750 (multiplicity 4)

Output
* electronic total energy: -7.5433 eV per atom
* crystal system: cubic


Entry 5:
This record from the Open Quantum Materials Database describes HfAlW2 after structural relaxation. The functional is GGA-PBE.

Cell: 6.484 6.484 6.484 Å, 90.00 90.00 90.00°
Space group F-43m (No. 216)
Inequivalent atoms, fractional coordinates:
1 Hf 0.000 0.000 0.000 (multiplicity 4)
2 Al 0.250 0.250 0.750 (multiplicity 4)
3 W 0.000 0.000 0.500 (multiplicity 4)
4 W 0.250 0.250 0.250 (multiplicity 4)

Output
* electronic total energy: -9.8878 eV per atom
* crystal system: cubic


Entry 6:
This record from the Open Quantum Materials Database describes Hf2AlW after structural relaxation. The functional is GGA-PBE.

Cell: 6.642 6.642 6.642 Å, 90.00 90.00 90.00°
Space group F-43m (No. 216)
Inequivalent atoms, fractional coordinates:
1 Hf 0.000 0.000 0.000 (multiplicity 4)
2 Hf 0.250 0.250 0.250 (multiplicity 4)
3 Al 0.000 0.000 0.500 (multiplicity 4)
4 W 0.250 0.250 0.750 (multiplicity 4)

Output
* electronic total energy: -9.0774 eV per atom
* crystal system: cubic


Entry 7:
This record from the Open Quantum Materials Database describes YHf2Al after structural relaxation. The functional is GGA-PBE.

Cell: 7.092 7.092 7.092 Å, 90.00 90.00 90.00°
Space group F-43m (No. 216)
Inequivalent atoms, fractional coordinates:
1 Y 0.000 0.000 0.000 (multiplicity 4)
2 Hf 0.000 0.000 0.500 (multiplicity 4)
3 Hf 0.250 0.250 0.250 (multiplicity 4)
4 Al 0.250 0.250 0.750 (multiplicity 4)

Output
* electronic total energy: -7.4664 eV per atom
* crystal system: cubic


Entry 8:
This record from the Open Quantum Materials Database describes Y2HfAl after structural relaxation. The functional is GGA-PBE.

Cell: 7.302 7.302 7.302 Å, 90.00 90.00 90.00°
Space group F-43m (No. 216)
Inequivalent atoms, fractional coordinates:
1 Y 0.000 0.000 0.000 (multiplicity 4)
2 Y 0.250 0.250 0.250 (multiplicity 4)
3 Hf 0.250 0.250 0.750 (multiplicity 4)
4 Al 0.000 0.000 0.500 (multiplicity 4)

Output
* electronic total energy: -6.5745 eV per atom
* crystal system: cubic


Entry 9:
This record from the Open Quantum Materials Database describes HfAlZn2 after structural relaxation. The functional is GGA-PBE.

Cell: 6.464 6.464 6.464 Å, 90.00 90.00 90.00°
Space group F-43m (No. 216)
Inequivalent atoms, fractional coordinates:
1 Hf 0.000 0.000 0.000 (multiplicity 4)
2 Al 0.250 0.250 0.750 (multiplicity 4)
3 Zn 0.000 0.000 0.500 (multiplicity 4)
4 Zn 0.250 0.250 0.250 (multiplicity 4)

Output
* electronic total energy: -4.0293 eV per atom
* crystal system: cubic


Entry 10:
This record from the Open Quantum Materials Database describes Hf2AlZn after structural relaxation. The functional is GGA-PBE.

Cell: 6.696 6.696 6.696 Å, 90.00 90.00 90.00°
Space group F-43m (No. 216)
Inequivalent atoms, fractional coordinates:
1 Hf 0.000 0.000 0.000 (multiplicity 4)
2 Hf 0.250 0.250 0.250 (multiplicity 4)
3 Al 0.000 0.000 0.500 (multiplicity 4)
4 Zn 0.250 0.250 0.750 (multiplicity 4)

Output
* electronic total energy: -6.0175 eV per atom
* crystal system: cubic


Entry 11:
This record from the Open Quantum Materials Database describes HfAlZn2 after structural relaxation. The functional is GGA-PBE.

Cell: 4.026 4.026 4.051 Å, 90.00 90.00 90.00°
Space group P4/mmm (No. 123)
Inequivalent atoms, fractional coordinates:
1 Hf 0.000 0.000 0.000 (multiplicity 1)
2 Al 0.500 0.500 0.000 (multiplicity 1)
3 Zn 0.000 0.500 0.500 (multiplicity 2)

Output
* electronic total energy: -4.3780 eV per atom
* crystal system: tetragonal


Entry 12:
This record from the Open Quantum Materials Database describes HfAlZn after structural relaxation. The functional is GGA-PBE.

Cell: 6.107 6.107 6.107 Å, 90.00 90.00 90.00°
Space group F-43m (No. 216)
Inequivalent atoms, fractional coordinates:
1 Hf 0.000 0.000 0.000 (multiplicity 4)
2 Al 0.000 0.000 0.500 (multiplicity 4)
3 Zn 0.250 0.250 0.750 (multiplicity 4)

Output
* electronic total energy: -5.0118 eV per atom
* crystal system: cubic


Entry 13:
This record from the Open Quantum Materials Database describes Hf2Al3Zn3 after structural relaxation. The functional is GGA-PBE.

Cell: 4.044 4.062 8.043 Å, 90.00 90.00 90.00°
Space group Pmmm (No. 47)
Inequivalent atoms, fractional coordinates:
1 Hf 0.000 0.000 0.248 (multiplicity 2)
2 Al 0.000 0.500 0.000 (multiplicity 1)
3 Al 0.500 0.000 0.000 (multiplicity 1)
4 Al 0.500 0.000 0.500 (multiplicity 1)
5 Zn 0.000 0.500 0.500 (multiplicity 1)
6 Zn 0.500 0.500 0.251 (multiplicity 2)

Output
* electronic total energy: -4.7268 eV per atom
* crystal system: orthorhombic


Entry 14:
This record from the Open Quantum Materials Database describes HfAlZn after structural relaxation. The functional is GGA-PBE.

Cell: 6.382 6.382 6.382 Å, 90.00 90.00 90.00°
Space group F-43m (No. 216)
Inequivalent atoms, fractional coordinates:
1 Hf 0.000 0.000 0.000 (multiplicity 4)
2 Al 0.250 0.250 0.750 (multiplicity 4)
3 Zn 0.250 0.250 0.250 (multiplicity 4)

Output
* electronic total energy: -4.6023 eV per atom
* crystal system: cubic


Entry 15:
This record from the Open Quantum Materials Database describes HfZrAl2 after structural relaxation. The functional is GGA-PBE.

Cell: 6.724 6.724 6.724 Å, 90.00 90.00 90.00°
Space group F-43m (No. 216)
Inequivalent atoms, fractional coordinates:
1 Hf 0.000 0.000 0.000 (multiplicity 4)
2 Zr 0.250 0.250 0.250 (multiplicity 4)
3 Al 0.000 0.000 0.500 (multiplicity 4)
4 Al 0.250 0.250 0.750 (multiplicity 4)

Output
* electronic total energy: -6.4643 eV per atom
* crystal system: cubic


Entry 16:
This record from the Open Quantum Materials Database describes HfZrAl6 after structural relaxation. The functional is GGA-PBE.

Cell: 4.003 4.003 17.289 Å, 90.00 90.00 90.00°
Space group I4mm (No. 107)
Inequivalent atoms, fractional coordinates:
1 Hf 0.000 0.000 0.000 (multiplicity 2)
2 Zr 0.000 0.000 0.762 (multiplicity 2)
3 Al 0.000 0.000 0.256 (multiplicity 2)
4 Al 0.000 0.000 0.506 (multiplicity 2)
5 Al 0.000 0.500 0.130 (multiplicity 4)
6 Al 0.000 0.500 0.381 (multiplicity 4)

Output
* electronic total energy: -5.5642 eV per atom
* crystal system: tetragonal


Entry 17:
This record from the Open Quantum Materials Database describes Hf2ZrAl2 after structural relaxation. The functional is GGA-PBE.

Cell: 4.003 4.003 12.904 Å, 90.00 90.00 90.00°
Space group I4/mmm (No. 139)
Inequivalent atoms, fractional coordinates:
1 Hf 0.000 0.500 0.250 (multiplicity 4)
2 Zr 0.000 0.000 0.000 (multiplicity 2)
3 Al 0.000 0.000 0.406 (multiplicity 4)

Output
* electronic total energy: -7.3098 eV per atom
* crystal system: tetragonal


Entry 18:
This record from the Open Quantum Materials Database describes Hf2ZrAl2 after structural relaxation. The functional is GGA-PBE.

Cell: 3.869 3.869 14.369 Å, 90.00 90.00 90.00°
Space group I4/mmm (No. 139)
Inequivalent atoms, fractional coordinates:
1 Hf 0.000 0.000 0.100 (multiplicity 4)
2 Zr 0.000 0.000 0.500 (multiplicity 2)
3 Al 0.000 0.500 0.250 (multiplicity 4)

Output
* electronic total energy: -6.9522 eV per atom
* crystal system: tetragonal


Entry 19:
This record from the Open Quantum Materials Database describes Hf2Zr2Al3 after structural relaxation. The functional is GGA-PBE.

Cell: 5.4009 5.4009 5.3889 Å, 90.00 90.00 120.00°
Space group P6/mmm (No. 191)
Inequivalent atoms, fractional coordinates:
1 Hf 0.3333 0.6667 0.0000 (multiplicity 2)
2 Zr 0.0000 0.0000 0.2390 (multiplicity 2)
3 Al 0.0000 0.5000 0.5000 (multiplicity 3)

Output
* electronic total energy: -7.3272 eV per atom
* crystal system: hexagonal


Entry 20:
This record from the Open Quantum Materials Database describes HfZr2Al2 after structural relaxation. The functional is GGA-PBE.

Cell: 3.863 3.863 14.465 Å, 90.00 90.00 90.00°
Space group I4/mmm (No. 139)
Inequivalent atoms, fractional coordinates:
1 Hf 0.000 0.000 0.000 (multiplicity 2)
2 Zr 0.000 0.000 0.401 (multiplicity 4)
3 Al 0.000 0.500 0.250 (multiplicity 4)

Output
* electronic total energy: -6.6943 eV per atom
* crystal system: tetragonal


Entry 21:
This record from the Open Quantum Materials Database describes HfZr2Al2 after structural relaxation. The functional is GGA-PBE.

Cell: 3.995 3.995 13.010 Å, 90.00 90.00 90.00°
Space group I4/mmm (No. 139)
Inequivalent atoms, fractional coordinates:
1 Hf 0.000 0.000 0.000 (multiplicity 2)
2 Zr 0.000 0.500 0.250 (multiplicity 4)
3 Al 0.000 0.000 0.407 (multiplicity 4)

Output
* electronic total energy: -7.0139 eV per atom
* crystal system: tetragonal


Entry 22:
This record from the Open Quantum Materials Database describes HfZrAl2 after structural relaxation. The functional is GGA-PBE.

Cell: 3.918 3.918 20.715 Å, 90.00 90.00 90.00°
Space group I4_1md (No. 109)
Inequivalent atoms, fractional coordinates:
1 Hf 0.000 0.000 0.000 (multiplicity 4)
2 Zr 0.000 0.000 0.605 (multiplicity 4)
3 Al 0.000 0.000 0.138 (multiplicity 4)
4 Al 0.000 0.000 0.467 (multiplicity 4)

Output
* electronic total energy: -6.8703 eV per atom
* crystal system: tetragonal


Entry 23:
This record from the Open Quantum Materials Database describes Hf3ZrAl2 after structural relaxation. The functional is GGA-PBE.

Cell: 5.275 9.675 9.648 Å, 90.00 90.00 90.00°
Space group Fmm2 (No. 42)
Inequivalent atoms, fractional coordinates:
1 Hf 0.000 0.000 0.000 (multiplicity 4)
2 Hf 0.000 0.152 0.650 (multiplicity 8)
3 Zr 0.000 0.000 0.301 (multiplicity 4)
4 Al 0.250 0.250 0.401 (multiplicity 8)

Output
* electronic total energy: -7.9272 eV per atom
* crystal system: orthorhombic


Entry 24:
This record from the Open Quantum Materials Database describes AlHg3 after structural relaxation. The functional is GGA-PBE.

Cell: 4.366 4.366 9.739 Å, 90.00 90.00 90.00°
Space group I4/mmm (No. 139)
Inequivalent atoms, fractional coordinates:
1 Al 0.000 0.000 0.000 (multiplicity 2)
2 Hg 0.000 0.000 0.500 (multiplicity 2)
3 Hg 0.000 0.500 0.250 (multiplicity 4)

Output
* electronic total energy: -0.9895 eV per atom
* crystal system: tetragonal


Entry 25:
This record from the Open Quantum Materials Database describes Al3Hg after structural relaxation. The functional is GGA-PBE.

Cell: 4.207 4.207 4.207 Å, 90.00 90.00 90.00°
Space group Pm-3m (No. 221)
Inequivalent atoms, fractional coordinates:
1 Al 0.000 0.000 0.500 (multiplicity 3)
2 Hg 0.500 0.500 0.500 (multiplicity 1)

Output
* electronic total energy: -2.7098 eV per atom
* crystal system: cubic


Entry 26:
This record from the Open Quantum Materials Database describes AlHg2 after structural relaxation. The functional is GGA-PBE.

Cell: 12.022 12.022 12.022 Å, 90.00 90.00 90.00°
Space group Fd-3m (No. 227, origin choice 2)
Inequivalent atoms, fractional coordinates:
1 Al 0.125 0.125 0.125 (multiplicity 8)
2 Hg 0.000 0.000 0.000 (multiplicity 16)

Output
* electronic total energy: -1.0783 eV per atom
* crystal system: cubic


Entry 27:
This record from the Open Quantum Materials Database describes AlHg2 after structural relaxation. The functional is GGA-PBE.

Cell: 5.0661 5.0661 3.0770 Å, 90.00 90.00 120.00°
Space group P6/mmm (No. 191)
Inequivalent atoms, fractional coordinates:
1 Al 0.0000 0.0000 0.0000 (multiplicity 1)
2 Hg 0.3333 0.6667 0.5000 (multiplicity 2)

Output
* electronic total energy: -1.1953 eV per atom
* crystal system: hexagonal


Entry 28:
This record from the Open Quantum Materials Database describes Al3Hg after structural relaxation. The functional is GGA-PBE.

Cell: 6.759 6.759 6.759 Å, 90.00 90.00 90.00°
Space group Fm-3m (No. 225)
Inequivalent atoms, fractional coordinates:
1 Al 0.000 0.000 0.000 (multiplicity 4)
2 Al 0.250 0.250 0.250 (multiplicity 8)
3 Hg 0.000 0.000 0.500 (multiplicity 4)

Output
* electronic total energy: -2.6418 eV per atom
* crystal system: cubic


Entry 29:
This record from the Open Quantum Materials Database describes Al3Hg after structural relaxation. The functional is GGA-PBE.

Cell: 5.9569 5.9569 4.9376 Å, 90.00 90.00 120.00°
Space group P6_3/mmc (No. 194)
Inequivalent atoms, fractional coordinates:
1 Al 0.1598 0.3196 0.2500 (multiplicity 6)
2 Hg 0.3333 0.6667 0.7500 (multiplicity 2)

Output
* electronic total energy: -2.6860 eV per atom
* crystal system: hexagonal